Record 1
Material: Tl2MoS4
Method: DFT, PBE-GGA
State: optimized geometry

abc: 4.681 4.681 8.730
angles: 74.45 74.45 90.00
Element x y z (fractional)
Mo (0.000, 0.000, 0.000)
S (0.150, 0.150, 0.700)
S (0.000, 0.500, 0.000)
Tl (0.344, 0.344, 0.311)
Tl (0.656, 0.656, 0.689)
S (0.850, 0.850, 0.300)
S (0.500, 0.000, 0.000)

Output
**Formation energy without anion corrections**: -0.207 eV/atom
**SG**: I4/mmm
**Raw total energy**: -4.79 eV per atom
**Total magnetization**: 0.00 μB/f.u.

***

Record 2
Material: Cs2NpRhO6
Method: DFT, PBE-GGA
State: optimized geometry

abc: 5.765 5.765 7.088
angles: 66.00 66.00 90.00
Last column: magnetic moment on the atom in μB.
Element x y z (fractional)
O (0.738, 0.262, 0.000)  0.17
Np (0.000, 0.000, 0.000)  -0.33
Rh (0.500, 0.500, 0.000)  1.10
O (0.262, 0.738, 0.000)  0.17
O (0.262, 0.262, 0.000)  0.17
O (0.163, 0.163, 0.675)  0.05
Cs (0.250, 0.750, 0.500)  0.00
O (0.837, 0.837, 0.325)  0.05
O (0.738, 0.738, 0.000)  0.17
Cs (0.750, 0.250, 0.500)  0.00

Output
**Formation energy without anion corrections**: -1.849 eV/atom
**SG**: I4/mmm
**Raw total energy**: -7.02 eV per atom
**Total magnetization**: 1.75 μB/f.u.